1.
A geometry-optimized PrSb2P2Pt7 structure. Source: the Alexandria database, functional PBE-GGA.

CIF file:
```
data_PrSb2P2Pt7
_chemical_formula_sum 'Pr2 Sb4 P4 Pt14'
_symmetry_space_group_name_H-M 'C 1 2/m 1'
_symmetry_Int_Tables_number 12
_symmetry_space_group_name_Hall '-C 2y'
_cell_length_a 5.6658
_cell_length_b 5.6673
_cell_length_c 15.1792
_cell_angle_alpha 90.00
_cell_angle_beta 100.70
_cell_angle_gamma 90.00
loop_
_atom_site_label
_atom_site_type_symbol
_atom_site_fract_x
_atom_site_fract_y
_atom_site_fract_z
_atom_site_occupancy
Pr1 Pr 0.0000 0.0000 0.0000 1
Sb1 Sb 0.2118 0.0000 0.4237 1
P1 P 0.1196 0.5000 0.2411 1
Pt1 Pt 0.0000 0.5000 0.0000 1
Pt2 Pt 0.1728 0.2499 0.8444 1
Pt3 Pt 0.1974 0.5000 0.3953 1
```

Calculated values
total energy	-73.46	eV/f.u.
M_tot	0.00	μB per formula unit

2.
A geometry-optimized Pr2ScP3Pt4 structure. Source: the Alexandria database, functional PBE-GGA.

CIF file:
```
data_Pr2ScP3Pt4
_chemical_formula_sum 'Pr2 Sc1 P3 Pt4'
_symmetry_space_group_name_H-M 'P -4 m 2'
_symmetry_Int_Tables_number 115
_symmetry_space_group_name_Hall 'P -4 -2'
_cell_length_a 4.1728
_cell_length_b 4.1728
_cell_length_c 10.8128
_cell_angle_alpha 90.00
_cell_angle_beta 90.00
_cell_angle_gamma 90.00
loop_
_atom_site_label
_atom_site_type_symbol
_atom_site_fract_x
_atom_site_fract_y
_atom_site_fract_z
_atom_site_occupancy
Pr1 Pr 0.0000 0.5000 0.2245 1
Sc1 Sc 0.0000 0.0000 0.5000 1
P1 P 0.0000 0.5000 0.8685 1
P2 P 0.5000 0.5000 0.5000 1
Pt1 Pt 0.0000 0.0000 0.0000 1
Pt2 Pt 0.0000 0.5000 0.6484 1
Pt3 Pt 0.5000 0.5000 0.0000 1
```

Calculated values
calculated formation energy	-1.04	eV/atom
M_tot	0.00	μB per formula unit

3.
A geometry-optimized Pr8P3PtSe4 structure. Source: the Alexandria database, functional PBE-GGA.

CIF file:
```
data_Pr8P3PtSe4
_chemical_formula_sum 'Pr24 P9 Pt3 Se12'
_symmetry_space_group_name_H-M 'R -3 m'
_symmetry_Int_Tables_number 166
_symmetry_space_group_name_Hall '-R 3 2"'
_cell_length_a 8.4732
_cell_length_b 8.4732
_cell_length_c 20.9606
_cell_angle_alpha 90.00
_cell_angle_beta 90.00
_cell_angle_gamma 120.00
loop_
_atom_site_label
_atom_site_type_symbol
_atom_site_fract_x
_atom_site_fract_y
_atom_site_fract_z
_atom_site_occupancy
Pr1 Pr 0.0000 0.0000 0.2438 1
Pr2 Pr 0.0034 0.5017 0.7549 1
P1 P 0.0000 0.5000 0.5000 1
Pt1 Pt 0.0000 0.0000 0.5000 1
Se1 Se 0.0000 0.0000 0.0000 1
Se2 Se 0.0000 0.5000 0.0000 1
```

Calculated values
total energy	-101.06	eV/f.u.
M_tot	0.00	μB per formula unit

4.
A geometry-optimized Pr4PPtSe2 structure. Source: the Alexandria database, functional PBE-GGA.

CIF file:
```
data_Pr4PPtSe2
_chemical_formula_sum 'Pr4 P1 Pt1 Se2'
_symmetry_space_group_name_H-M 'P 1 2/m 1'
_symmetry_Int_Tables_number 10
_symmetry_space_group_name_Hall '-P 2y'
_cell_length_a 7.4156
_cell_length_b 4.2006
_cell_length_c 7.4369
_cell_angle_alpha 90.00
_cell_angle_beta 108.99
_cell_angle_gamma 90.00
loop_
_atom_site_label
_atom_site_type_symbol
_atom_site_fract_x
_atom_site_fract_y
_atom_site_fract_z
_atom_site_occupancy
Pr1 Pr 0.2396 0.0000 0.2367 1
Pr2 Pr 0.2535 0.5000 0.7653 1
P1 P 0.0000 0.5000 0.0000 1
Pt1 Pt 0.5000 0.0000 0.0000 1
Se1 Se 0.0000 0.0000 0.5000 1
Se2 Se 0.5000 0.5000 0.5000 1
```

Calculated values
total energy	-50.06	eV/f.u.
M_tot	0.00	μB per formula unit

Repeat the fourth record exactly.
A geometry-optimized Pr4PPtSe2 structure. Source: the Alexandria database, functional PBE-GGA.

CIF file:
```
data_Pr4PPtSe2
_chemical_formula_sum 'Pr4 P1 Pt1 Se2'
_symmetry_space_group_name_H-M 'P 1 2/m 1'
_symmetry_Int_Tables_number 10
_symmetry_space_group_name_Hall '-P 2y'
_cell_length_a 7.4156
_cell_length_b 4.2006
_cell_length_c 7.4369
_cell_angle_alpha 90.00
_cell_angle_beta 108.99
_cell_angle_gamma 90.00
loop_
_atom_site_label
_atom_site_type_symbol
_atom_site_fract_x
_atom_site_fract_y
_atom_site_fract_z
_atom_site_occupancy
Pr1 Pr 0.2396 0.0000 0.2367 1
Pr2 Pr 0.2535 0.5000 0.7653 1
P1 P 0.0000 0.5000 0.0000 1
Pt1 Pt 0.5000 0.0000 0.0000 1
Se1 Se 0.0000 0.0000 0.5000 1
Se2 Se 0.5000 0.5000 0.5000 1
```

Calculated values
total energy	-50.06	eV/f.u.
M_tot	0.00	μB per formula unit

Which value of M_tot does entry 2 give? 0.00 μB per formula unit

Which value of M_tot does entry 4 give? 0.00 μB per formula unit